Compound: Ti2BiB
Source: Alexandria
Functional: GGA-PBE
Structure: optimized geometry

Structure (POSCAR):
```
Ti2BiB
1.0
2.351 -3.669 -1.351
-1.626 -4.182 0.825
-1.552 -2.564 -3.440
B Bi Ti
1 1 2
Direct
0.000 0.000 0.000
0.500 0.500 0.500
0.250 0.250 0.250
0.750 0.750 0.750
```

- Energy relative to the elements: 0.59 eV/atom
- Volume: 67 Å³/f.u.
- Calculated total energy: -5.999 eV/atom
- Density: 7.80 Mg/m³

***

Compound: Zr2HPb
Source: Alexandria
Functional: GGA-PBE
Structure: optimized geometry

Structure (POSCAR):
```
Zr2HPb
1.0
0.000 3.415 3.415
3.415 0.000 3.415
3.415 3.415 0.000
Pb H Zr
1 1 2
Direct
0.500 0.500 0.500
0.000 0.000 0.000
0.250 0.250 0.250
0.750 0.750 0.750
```

- Volume: 80 Å³/f.u.
- Calculated total energy: -5.754 eV/atom
- Density: 8.14 Mg/m³

***

Compound: Ti4Pb
Source: Alexandria
Functional: GGA-PBE
Structure: optimized geometry

Structure (POSCAR):
```
Ti4Pb
1.0
-3.164 1.329 -1.685
-4.249 -0.812 3.001
-0.897 5.021 1.306
Ti Pb
4 1
Direct
0.610 0.208 0.573
0.818 0.573 0.792
0.390 0.792 0.427
0.182 0.427 0.208
0.000 0.000 0.000
```

- Energy relative to the elements: -0.05 eV/atom
- Volume: 92 Å³/f.u.
- Calculated total energy: -7.106 eV/atom
- Density: 7.20 Mg/m³

***

Compound: Cs2SiTe4As
Source: Alexandria
Functional: GGA-PBE
Structure: optimized geometry

Structure (POSCAR):
```
Cs2SiTe4As
1.0
9.366 -0.007 -0.121
-0.014 9.366 -0.121
-4.658 -4.661 6.738
Cs Si Te As
4 2 8 2
Direct
0.500 0.000 0.000
0.500 0.000 0.500
0.000 0.000 0.500
0.500 0.500 0.000
0.500 0.500 0.500
0.000 0.000 0.000
0.177 0.729 0.954
0.771 0.323 0.546
0.229 0.677 0.454
0.823 0.271 0.046
0.772 0.728 0.944
0.772 0.728 0.556
0.228 0.272 0.444
0.228 0.272 0.056
0.000 0.500 0.000
0.000 0.500 0.500
```

- Volume: 290 Å³/f.u.
- Formation energy without anion corrections: -0.191 eV/atom
- Calculated total energy: -3.234 eV/atom
- Density: 5.03 Mg/m³

***

Compound: InSnSe2I
Source: Alexandria
Functional: GGA-PBE
Structure: optimized geometry

Structure (POSCAR):
```
InSnSe2I
1.0
-5.564 -1.830 1.126
2.109 -2.094 7.020
-1.902 7.466 2.730
In Sn Se I
2 2 4 2
Direct
0.250 0.904 0.855
0.750 0.096 0.145
0.750 0.185 0.617
0.250 0.815 0.383
0.750 0.931 0.865
0.250 0.069 0.135
0.250 0.103 0.595
0.750 0.897 0.405
0.750 0.448 0.225
0.250 0.552 0.775
```

- Volume: 186 Å³/f.u.
- Formation energy without anion corrections: -0.470 eV/atom
- Calculated total energy: -3.522 eV/atom
- Density: 4.63 Mg/m³

***

Compound: LaYCrNi2
Source: Alexandria
Functional: GGA-PBE
Structure: optimized geometry

Structure (POSCAR):
```
LaYCrNi2
1.0
-2.534 -3.720 1.011
2.437 -2.769 -4.075
3.267 -1.431 2.926
Y Ni Cr La
1 2 1 1
Direct
0.000 0.500 0.000
0.000 0.000 0.500
0.500 0.000 0.000
0.500 0.500 0.500
0.000 0.000 0.000
```

- Energy relative to the elements: 1.65 eV/atom
- Volume: 117 Å³/f.u.
- Calculated total energy: -4.864 eV/atom
- Density: 5.64 Mg/m³